No. 1
First-principles (GGA-PBE) data for a geometry-optimized LiMn2Cl structure, as listed in Alexandria.

Cell and atoms, written as extended XYZ:
```
4
Lattice="1.573 -2.597 0.000 1.573 2.597 0.000 0.000 0.000 8.674" Properties=species:S:1:pos:R:3 pbc="T T T"
Li 0.000 0.000 0.000
Mn 1.573 0.000 2.288
Mn 1.573 0.000 6.386
Cl 0.000 0.000 4.337
```

Computed properties:
energy above the lowest structure with this stoichiometry = 0.456 eV per atom
energy relative to the elements, uncorrected = 1.028 eV/f.u.

No. 2
First-principles (GGA-PBE) data for a geometry-optimized UCdCo4 structure, as listed in Alexandria.

Cell and atoms, written as extended XYZ:
```
6
Lattice="0.000 3.493 3.493 3.493 0.000 3.493 3.493 3.493 0.000" Properties=species:S:1:pos:R:3 pbc="T T T"
U 0.000 0.000 0.000
Cd 5.240 5.240 5.240
Co 2.625 2.625 2.625
Co 4.361 4.361 2.625
Co 4.361 2.625 4.361
Co 2.625 4.361 4.361
```

Computed properties:
formation energy from the elements = -28 meV per atom

No. 3
First-principles (GGA-PBE) data for a geometry-optimized Mg2SiNiSb structure, as listed in Alexandria.

Cell and atoms, written as extended XYZ:
```
5
Lattice="5.290 0.000 0.000 0.000 5.290 0.000 0.000 0.000 4.665" Properties=species:S:1:pos:R:3 pbc="T T T"
Mg 0.000 2.645 0.000
Mg 2.645 0.000 0.000
Si 0.000 0.000 2.333
Ni 2.645 2.645 2.333
Sb 2.645 2.645 0.000
```

Computed properties:
energy relative to the elements, uncorrected = 3.603 eV/f.u.

No. 4
First-principles (GGA-PBE) data for a geometry-optimized K3Ac2LaTe6 structure, as listed in Alexandria.

Cell and atoms, written as extended XYZ:
```
12
Lattice="10.780 -2.402 0.000 10.780 2.402 0.000 -2.749 0.000 9.563" Properties=species:S:1:pos:R:3 pbc="T T T"
K 0.000 0.000 0.000
K 5.348 0.000 6.372
K 13.464 0.000 3.191
Ac 6.747 0.000 1.613
Ac 12.065 0.000 7.951
La -1.374 0.000 4.782
Te 1.765 0.000 5.685
Te 3.529 0.000 0.661
Te 9.926 0.000 2.619
Te 8.886 0.000 6.944
Te 15.283 0.000 8.902
Te 17.047 0.000 3.879
```

Computed properties:
energy relative to the elements, uncorrected = -17.951 eV/f.u.

No. 5
First-principles (GGA-PBE) data for a geometry-optimized KZn2AgPd structure, as listed in Alexandria.

Cell and atoms, written as extended XYZ:
```
5
Lattice="4.903 0.000 0.000 0.000 4.903 0.000 0.000 0.000 5.339" Properties=species:S:1:pos:R:3 pbc="T T T"
K 0.000 0.000 0.000
Zn 0.000 2.452 2.670
Zn 2.452 0.000 2.670
Ag 2.452 2.452 0.000
Pd 2.452 2.452 2.670
```

Computed properties:
formation energy from the elements = -58 meV per atom

No. 6
First-principles (GGA-PBE) data for a geometry-optimized DyThHg5 structure, as listed in Alexandria.

Cell and atoms, written as extended XYZ:
```
7
Lattice="5.079 0.000 0.000 0.000 5.079 0.000 0.000 0.000 7.264" Properties=species:S:1:pos:R:3 pbc="T T T"
Dy 0.000 0.000 0.000
Th 2.539 2.539 3.632
Hg 0.000 0.000 3.632
Hg 0.000 2.539 1.646
Hg 0.000 2.539 5.618
Hg 2.539 0.000 1.646
Hg 2.539 0.000 5.618
```

Computed properties:
formation energy from the elements = -181 meV per atom

No. 7
First-principles (GGA-PBE) data for a geometry-optimized Zn2HRu2 structure, as listed in Alexandria.

Cell and atoms, written as extended XYZ:
```
10
Lattice="5.334 0.000 0.000 0.000 5.334 0.000 0.000 0.000 4.376" Properties=species:S:1:pos:R:3 pbc="T T T"
Zn 0.870 1.798 0.000
Zn 1.798 4.465 0.000
Zn 3.537 0.870 0.000
Zn 4.465 3.537 0.000
H 0.000 0.000 2.188
H 2.667 2.667 2.188
Ru 0.899 3.566 2.188
Ru 1.768 0.899 2.188
Ru 3.566 4.435 2.188
Ru 4.435 1.768 2.188
```

Computed properties:
E_tot = -47.67 eV/cell

No. 8
First-principles (GGA-PBE) data for a geometry-optimized AcPrGe2Pd5 structure, as listed in Alexandria.

Cell and atoms, written as extended XYZ:
```
9
Lattice="4.405 0.000 0.000 0.000 4.405 0.000 0.000 0.000 9.179" Properties=species:S:1:pos:R:3 pbc="T T T"
Ac 0.000 0.000 0.000
Pr 0.000 0.000 4.589
Ge 2.203 2.203 3.334
Ge 2.203 2.203 5.845
Pd 0.000 2.203 2.135
Pd 0.000 2.203 7.044
Pd 2.203 0.000 2.135
Pd 2.203 0.000 7.044
Pd 2.203 2.203 0.000
```

Computed properties:
formation energy from the elements = -786 meV per atom

| no. | theoretical density (Mg/m³) |
| --- | --- |
| 1 | 3.569 |
| 2 | 11.418 |
| 3 | 3.270 |
| 4 | 4.949 |
| 5 | 4.970 |
| 6 | 12.385 |
| 7 | 8.908 |
| 8 | 9.745 |